NaSm2Er after structural relaxation, computed with PBE-GGA.

* formation enthalpy at 0 K: 11 kJ/mol of atoms
* offset from the most stable computed form: 0 meV/atom
* calculated density: 6.085 g/cm³

The structure in CIF format:
```
data_NaSm2Er
_cell_length_a 3.5154
_cell_length_b 3.5154
_cell_length_c 10.8417
_cell_angle_alpha 90.00
_cell_angle_beta 90.00
_cell_angle_gamma 90.00
_symmetry_space_group_name_H-M 'P 4/m m m'
_symmetry_Int_Tables_number 123
_symmetry_space_group_name_Hall '-P 4 2'
loop_
_atom_site_label
_atom_site_type_symbol
_atom_site_fract_x
_atom_site_fract_y
_atom_site_fract_z
Na1 Na 0.0000 0.0000 0.0000
Sm1 Sm 0.5000 0.5000 0.2685
Er1 Er 0.0000 0.0000 0.5000
```

***

K2ScRu after structural relaxation, computed with PBE-GGA.

* formation enthalpy at 0 K: 90 kJ/mol of atoms
* offset from the most stable computed form: 649 meV/atom
* calculated density: 3.674 g/cm³

The structure in CIF format:
```
data_K2ScRu
_cell_length_a 7.4012
_cell_length_b 7.4012
_cell_length_c 7.4012
_cell_angle_alpha 90.00
_cell_angle_beta 90.00
_cell_angle_gamma 90.00
_symmetry_space_group_name_H-M 'F -4 3 m'
_symmetry_Int_Tables_number 216
_symmetry_space_group_name_Hall 'F -4 2 3'
loop_
_atom_site_label
_atom_site_type_symbol
_atom_site_fract_x
_atom_site_fract_y
_atom_site_fract_z
K1 K 0.0000 0.0000 0.0000
K2 K 0.2500 0.2500 0.2500
Sc1 Sc 0.0000 0.0000 0.5000
Ru1 Ru 0.2500 0.2500 0.7500
```

***

Q: Which of these has the highest formation enthalpy at 0 K?
A: K2ScRu